BaEr3Te6 | PBE | optimized geometry

The structure in POSCAR format:
```
BaEr3Te6
1.0
12.721 0.000 0.000
0.000 4.460 0.000
-4.282 0.000 12.287
Ba Er Te
2 6 12
Cartesian
-0.169 1.115 2.431
8.607 3.345 9.856
-0.535 1.115 7.182
4.110 3.345 0.029
4.276 1.115 4.162
4.163 3.345 8.124
4.329 1.115 12.257
8.973 3.345 5.104
-0.693 3.345 5.094
-2.310 1.115 11.886
-0.524 3.345 9.206
2.615 3.345 2.868
2.533 1.115 6.754
5.697 1.115 1.461
2.741 3.345 10.825
5.906 3.345 5.532
5.823 1.115 9.419
8.963 1.115 3.080
10.748 3.345 0.400
9.131 1.115 7.193
```

Output
- Calculated density: 6.7 g cm⁻³
- DOS at the Fermi energy: 6.762 states/eV/f.u.
- Energy: -4.7872 eV/atom



Ba3ErTm3Te8 | PBE | optimized geometry

The structure in POSCAR format:
```
Ba3ErTm3Te8
1.0
4.458 2.574 7.976
-4.458 2.574 7.976
0.000 -5.148 7.976
Ba Er Tm Te
3 1 3 8
Cartesian
-2.229 -1.287 7.976
-2.229 1.287 15.953
0.000 2.574 7.976
0.000 0.000 11.965
-4.458 0.000 11.965
-2.229 1.287 3.988
2.229 1.287 3.988
-2.265 -1.308 13.664
0.000 0.000 5.680
0.000 -2.616 10.265
-2.265 1.308 10.265
2.265 -1.308 13.664
0.000 2.616 13.664
0.000 0.000 18.249
2.265 1.308 10.265
```

Output
- Calculated density: 6.4 g cm⁻³
- DOS at the Fermi energy: 3.871 states/eV/f.u.
- Energy: -4.7554 eV/atom



Ba3Y3ErTe8 | PBE | optimized geometry

The structure in POSCAR format:
```
Ba3Y3ErTe8
1.0
7.787 -4.498 0.000
7.787 4.498 0.000
-5.186 0.000 7.998
Ba Y Er Te
3 3 1 8
Cartesian
0.000 0.000 0.000
3.893 2.249 0.000
3.893 -2.249 0.000
1.300 2.249 3.999
1.300 -2.249 3.999
5.194 0.000 3.999
-2.593 0.000 3.999
0.015 0.000 5.716
3.890 2.237 5.717
2.597 0.000 2.268
6.497 2.237 2.281
3.890 -2.237 5.717
7.790 0.000 5.730
6.497 -2.237 2.281
10.372 0.000 2.282
```

Output
- Calculated density: 5.5 g cm⁻³
- DOS at the Fermi energy: 4.102 states/eV/f.u.
- Energy: -5.1972 eV/atom



Ba3YEr3Te8 | PBE | optimized geometry

The structure in POSCAR format:
```
Ba3YEr3Te8
1.0
4.476 2.584 7.975
-4.476 2.584 7.975
0.000 -5.169 7.975
Ba Y Er Te
3 1 3 8
Cartesian
-2.238 -1.292 7.975
-2.238 1.292 15.949
0.000 2.584 7.975
0.000 0.000 11.962
-4.476 0.000 11.962
-2.238 1.292 3.987
2.238 1.292 3.987
-2.284 -1.319 13.677
0.000 0.000 5.689
0.000 -2.638 10.247
-2.284 1.319 10.247
2.284 -1.319 13.677
0.000 2.638 13.677
0.000 0.000 18.235
2.284 1.319 10.247
```

Output
- Calculated density: 6.1 g cm⁻³
- DOS at the Fermi energy: 4.069 states/eV/f.u.
- Energy: -4.9221 eV/atom



BaEr2Th | PBE | optimized geometry

The structure in POSCAR format:
```
BaEr2Th
1.0
3.670 0.000 0.000
0.000 3.670 0.000
0.000 0.000 10.807
Ba Er Th
1 2 1
Cartesian
0.000 0.000 0.000
1.835 1.835 3.124
1.835 1.835 7.683
0.000 0.000 5.404
```

Output
- Calculated density: 8.0 g cm⁻³
- ΔE_f: 0.1244 eV/atom
- DOS at the Fermi energy: 4.885 states/eV/f.u.



BaEr2Th | PBE | optimized geometry

The structure in POSCAR format:
```
BaEr2Th
1.0
1.806 1.042 12.704
-1.806 1.042 12.704
0.000 -2.085 12.704
Ba Er Th
1 2 1
Cartesian
0.000 0.000 0.000
0.000 0.000 3.621
0.000 0.000 34.492
0.000 0.000 19.056
```

Output
- Calculated density: 8.1 g cm⁻³
- ΔE_f: 0.2115 eV/atom
- DOS at the Fermi energy: 5.915 states/eV/f.u.



Ba3ErTl4 | PBE | optimized geometry

The structure in POSCAR format:
```
Ba3ErTl4
1.0
4.101 0.000 0.000
0.000 4.101 0.000
0.000 0.000 17.063
Ba Er Tl
3 1 4
Cartesian
0.000 0.000 0.000
0.000 0.000 4.511
0.000 0.000 12.553
0.000 0.000 8.532
2.051 2.051 2.195
2.051 2.051 6.866
2.051 2.051 10.197
2.051 2.051 14.869
```

Output
- Calculated density: 8.1 g cm⁻³
- ΔE_f: -0.3589 eV/atom
- DOS at the Fermi energy: 6.661 states/eV/f.u.



BaErTl4 | PBE | optimized geometry

The structure in POSCAR format:
```
BaErTl4
1.0
5.107 0.000 0.000
0.000 5.107 0.000
0.000 0.000 8.592
Ba Er Tl
1 1 4
Cartesian
0.000 0.000 0.000
2.554 2.554 4.296
0.000 2.554 2.551
0.000 2.554 6.041
2.554 0.000 2.551
2.554 0.000 6.041
```

Output
- Calculated density: 8.3 g cm⁻³
- ΔE_f: -0.0488 eV/atom
- DOS at the Fermi energy: 5.797 states/eV/f.u.



BaErTl4 | PBE | optimized geometry

The structure in POSCAR format:
```
BaErTl4
1.0
0.000 4.548 4.548
4.548 0.000 4.548
4.548 4.548 0.000
Ba Er Tl
1 1 4
Cartesian
0.000 0.000 0.000
2.274 2.274 2.274
5.681 3.414 3.414
3.414 5.681 3.414
3.414 3.414 5.681
5.681 5.681 5.681
```

Output
- Calculated density: 9.9 g cm⁻³
- ΔE_f: -0.0963 eV/atom
- DOS at the Fermi energy: 5.765 states/eV/f.u.



Ba2ErTl | PBE | optimized geometry

The structure in POSCAR format:
```
Ba2ErTl
1.0
1.934 1.117 12.854
-1.934 1.117 12.854
0.000 -2.233 12.854
Ba Er Tl
2 1 1
Cartesian
0.000 0.000 3.602
0.000 0.000 34.961
0.000 0.000 0.000
0.000 0.000 19.282
```

Output
- Calculated density: 6.4 g cm⁻³
- ΔE_f: 0.2224 eV/atom
- DOS at the Fermi energy: 5.159 states/eV/f.u.



Ba4ErTl5 | PBE | optimized geometry

The structure in POSCAR format:
```
Ba4ErTl5
1.0
4.116 0.000 0.000
0.000 4.116 0.000
0.000 0.000 21.616
Ba Er Tl
4 1 5
Cartesian
0.000 0.000 2.234
0.000 0.000 6.790
0.000 0.000 14.826
0.000 0.000 19.382
0.000 0.000 10.808
2.058 2.058 0.000
2.058 2.058 4.458
2.058 2.058 9.137
2.058 2.058 12.478
2.058 2.058 17.158
```

Output
- Calculated density: 7.9 g cm⁻³
- ΔE_f: -0.3639 eV/atom
- DOS at the Fermi energy: 8.801 states/eV/f.u.



BaErTl2 | PBE | optimized geometry

The structure in POSCAR format:
```
BaErTl2
1.0
5.805 0.000 0.000
0.000 5.805 0.000
0.000 0.000 3.901
Ba Er Tl
1 1 2
Cartesian
0.000 0.000 0.000
2.903 2.903 0.000
0.000 2.903 1.950
2.903 0.000 1.950
```

Output
- Calculated density: 9.0 g cm⁻³
- ΔE_f: -0.2106 eV/atom
- DOS at the Fermi energy: 3.736 states/eV/f.u.



BaEr2Tl | PBE | optimized geometry

The structure in POSCAR format:
```
BaEr2Tl
1.0
1.836 1.060 12.027
-1.836 1.060 12.027
0.000 -2.120 12.027
Ba Er Tl
1 2 1
Cartesian
0.000 0.000 0.000
0.000 0.000 3.626
0.000 0.000 32.456
0.000 0.000 18.041
```

Output
- Calculated density: 8.0 g cm⁻³
- ΔE_f: 0.1481 eV/atom
- DOS at the Fermi energy: 5.543 states/eV/f.u.



BaErTl2 | PBE | optimized geometry

The structure in POSCAR format:
```
BaErTl2
1.0
3.969 0.000 0.000
0.000 3.969 0.000
0.000 0.000 8.219
Ba Er Tl
1 1 2
Cartesian
0.000 0.000 0.000
0.000 0.000 4.109
1.985 1.985 2.400
1.985 1.985 5.818
```

Output
- Calculated density: 9.1 g cm⁻³
- ΔE_f: -0.3556 eV/atom
- DOS at the Fermi energy: 2.592 states/eV/f.u.



BaEr4Tl5 | PBE | optimized geometry

The structure in POSCAR format:
```
BaEr4Tl5
1.0
3.840 0.000 0.000
0.000 3.840 0.000
0.000 0.000 19.583
Ba Er Tl
1 4 5
Cartesian
0.000 0.000 0.000
0.000 0.000 4.273
0.000 0.000 7.960
0.000 0.000 11.624
0.000 0.000 15.310
1.920 1.920 2.481
1.920 1.920 6.137
1.920 1.920 9.792
1.920 1.920 13.447
1.920 1.920 17.102
```

Output
- Calculated density: 10.5 g cm⁻³
- ΔE_f: -0.3232 eV/atom
- DOS at the Fermi energy: 5.935 states/eV/f.u.



BaEr6Tl12 | PBE | optimized geometry

The structure in POSCAR format:
```
BaEr6Tl12
1.0
7.016 4.050 3.469
-7.016 4.050 3.469
0.000 -8.101 3.469
Ba Er Tl
1 6 12
Cartesian
0.000 0.000 0.000
-2.944 -1.700 5.914
0.000 -3.399 4.494
-2.944 1.700 4.494
2.944 -1.700 5.914
0.000 3.399 5.914
2.944 1.700 4.494
-2.729 -4.728 5.204
-5.459 0.000 5.204
-1.634 -0.943 3.152
1.634 -0.943 3.152
0.000 1.887 3.152
2.729 -4.728 5.204
-2.729 4.728 5.204
0.000 -1.887 7.256
-1.634 0.943 7.256
1.634 0.943 7.256
5.459 0.000 5.204
2.729 4.728 5.204
```

Output
- Calculated density: 10.1 g cm⁻³
- ΔE_f: -0.0870 eV/atom
- DOS at the Fermi energy: 13.861 states/eV/f.u.



BaEr2Tl9 | PBE | optimized geometry

The structure in POSCAR format:
```
BaEr2Tl9
1.0
4.897 0.000 0.000
0.000 4.897 0.000
0.000 0.000 14.535
Ba Er Tl
1 2 9
Cartesian
0.000 0.000 0.000
0.000 0.000 5.047
0.000 0.000 9.488
0.000 2.448 2.652
0.000 2.448 7.267
0.000 2.448 11.883
2.448 0.000 2.652
2.448 0.000 7.267
2.448 0.000 11.883
2.448 2.448 0.000
2.448 2.448 4.887
2.448 2.448 9.648
```

Output
- Calculated density: 11.0 g cm⁻³
- ΔE_f: -0.2140 eV/atom
- DOS at the Fermi energy: 4.504 states/eV/f.u.



BaErTlZn | PBE | optimized geometry

The structure in POSCAR format:
```
BaErTlZn
1.0
0.000 3.948 3.948
3.948 0.000 3.948
3.948 3.948 0.000
Ba Er Tl Zn
1 1 1 1
Cartesian
0.000 0.000 0.000
3.948 3.948 3.948
5.923 5.923 5.923
1.974 1.974 1.974
```

Output
- Calculated density: 7.7 g cm⁻³
- ΔE_f: -0.1556 eV/atom
- DOS at the Fermi energy: 2.911 states/eV/f.u.



BaErTm2 | PBE | optimized geometry

The structure in POSCAR format:
```
BaErTm2
1.0
1.778 1.027 12.704
-1.778 1.027 12.704
0.000 -2.054 12.704
Ba Er Tm
1 1 2
Cartesian
0.000 0.000 0.000
0.000 0.000 19.057
0.000 0.000 3.587
0.000 0.000 34.527
```

Output
- Calculated density: 7.7 g cm⁻³
- ΔE_f: 0.2451 eV/atom
- DOS at the Fermi energy: 5.470 states/eV/f.u.



BaEr2Tm | PBE | optimized geometry

The structure in POSCAR format:
```
BaEr2Tm
1.0
1.782 1.029 12.712
-1.782 1.029 12.712
0.000 -2.057 12.712
Ba Er Tm
1 2 1
Cartesian
0.000 0.000 0.000
0.000 0.000 3.595
0.000 0.000 34.540
0.000 0.000 19.067
```

Output
- Calculated density: 7.6 g cm⁻³
- ΔE_f: 0.2391 eV/atom
- DOS at the Fermi energy: 5.248 states/eV/f.u.



BaYEr2 | PBE | optimized geometry

The structure in POSCAR format:
```
BaYEr2
1.0
1.795 1.036 12.799
-1.795 1.036 12.799
0.000 -2.072 12.799
Ba Y Er
1 1 2
Cartesian
0.000 0.000 0.000
0.000 0.000 19.198
0.000 0.000 3.593
0.000 0.000 34.803
```

Output
- Calculated density: 6.5 g cm⁻³
- ΔE_f: 0.2385 eV/atom
- DOS at the Fermi energy: 5.613 states/eV/f.u.



BaY2Er | PBE | optimized geometry

The structure in POSCAR format:
```
BaY2Er
1.0
3.697 0.000 0.000
0.000 3.697 0.000
0.000 0.000 10.786
Ba Y Er
1 2 1
Cartesian
0.000 0.000 0.000
1.849 1.849 3.076
1.849 1.849 7.710
0.000 0.000 5.393
```

Output
- Calculated density: 5.4 g cm⁻³
- ΔE_f: 0.1573 eV/atom
- DOS at the Fermi energy: 6.110 states/eV/f.u.



BaErZn4 | PBE | optimized geometry

The structure in POSCAR format:
```
BaErZn4
1.0
0.000 4.031 4.031
4.031 0.000 4.031
4.031 4.031 0.000
Ba Er Zn
1 1 4
Cartesian
0.000 0.000 0.000
6.046 6.046 6.046
3.037 3.037 3.037
5.025 5.025 3.037
5.025 3.037 5.025
3.037 5.025 5.025
```

Output
- Calculated density: 7.2 g cm⁻³
- ΔE_f: -0.1172 eV/atom
- DOS at the Fermi energy: 7.370 states/eV/f.u.



BaEr2Zn | PBE | optimized geometry

The structure in POSCAR format:
```
BaEr2Zn
1.0
3.654 0.000 0.000
0.000 3.654 0.000
0.000 0.000 9.574
Ba Er Zn
1 2 1
Cartesian
0.000 0.000 0.000
1.827 1.827 3.138
1.827 1.827 6.436
0.000 0.000 4.787
```

Output
- Calculated density: 7.0 g cm⁻³
- ΔE_f: -0.0196 eV/atom
- DOS at the Fermi energy: 4.898 states/eV/f.u.



BaEr2Zn | PBE | optimized geometry

The structure in POSCAR format:
```
BaEr2Zn
1.0
1.805 1.042 11.550
-1.805 1.042 11.550
0.000 -2.085 11.550
Ba Er Zn
1 2 1
Cartesian
0.000 0.000 0.000
0.000 0.000 3.663
0.000 0.000 30.987
0.000 0.000 17.325
```

Output
- Calculated density: 6.8 g cm⁻³
- ΔE_f: 0.1619 eV/atom
- DOS at the Fermi energy: 3.782 states/eV/f.u.